Record 1
This record from the Alexandria database describes NaAcSiHg after structural relaxation. The functional is PBE-GGA.

Calculated values
* ΔE_f (raw): -0.292 eV/atom

Lattice parameters (Å, degrees): 5.3854 5.3854 5.3854 60.00 60.00 60.00
Closest atoms and distances in Å follow each position.
Element x y z (fractional)
1 Na 0.0000 0.0000 0.0000  4 Si 3.30, 4 Hg 3.30
2 Ac 0.5000 0.5000 0.5000  4 Si 3.30, 4 Hg 3.30
3 Si 0.7500 0.7500 0.7500  4 Ac 3.30, 4 Na 3.30
4 Hg 0.2500 0.2500 0.2500  4 Ac 3.30, 4 Na 3.30

***

Record 2
This record from the Alexandria database describes Li5Ac2Al5 after structural relaxation. The functional is PBE-GGA.

Calculated values
* ΔE_f: -0.23 eV/atom

Lattice parameters (Å, degrees): 4.5248 5.6111 9.8726 90.00 90.00 90.00
Closest atoms and distances in Å follow each position.
Element x y z (fractional)
1 Li 0.0000 0.0000 0.0000  4 Li 2.83, 4 Al 2.86
2 Li 0.5000 0.0000 0.1727  4 Al 2.78, 2 Li 2.83
3 Li 0.5000 0.0000 0.8273  4 Al 2.78, 2 Li 2.83
4 Li 0.5000 0.5000 0.3335  6 Al 2.78-2.80
5 Li 0.5000 0.5000 0.6665  6 Al 2.78-2.80
6 Ac 0.5000 0.0000 0.5000  6 Li 3.23-3.25, 12 Al 3.60-3.61
7 Ac 0.5000 0.5000 0.0000  10 Li 3.28-3.60, 8 Al 3.65
8 Al 0.0000 0.2502 0.2526  5 Li 2.78-2.86, 3 Al 2.80-2.82
9 Al 0.0000 0.2502 0.7474  5 Li 2.78-2.86, 3 Al 2.80-2.82
10 Al 0.0000 0.5000 0.5000  4 Li 2.80, 4 Al 2.82
11 Al 0.0000 0.7498 0.2526  5 Li 2.78-2.86, 3 Al 2.80-2.82
12 Al 0.0000 0.7498 0.7474  5 Li 2.78-2.86, 3 Al 2.80-2.82

***

Record 3
This record from the Alexandria database describes TaZnCr2 after structural relaxation. The functional is PBE-GGA.

Calculated values
* ΔE_f: 0.26 eV/atom

Lattice parameters (Å, degrees): 5.0644 5.0644 2.6005 100.56 100.56 116.47
Closest atoms and distances in Å follow each position.
Element x y z (fractional)
1 Ta 0.0000 0.0000 0.0000  2 Ta 2.60, 4 Cr 2.63, 2 Zn 2.67
2 Zn 0.5000 0.5000 0.0000  2 Zn 2.60, 4 Cr 2.63, 2 Ta 2.67
3 Cr 0.0000 0.5000 0.5000  4 Cr 2.60-2.67, 2 Ta 2.63, 2 Zn 2.63
4 Cr 0.5000 0.0000 0.5000  4 Cr 2.60-2.67, 2 Ta 2.63, 2 Zn 2.63

***

Record 4
This record from the Alexandria database describes Pm2Tl3Cd after structural relaxation. The functional is PBE-GGA.

Calculated values
* ΔE_f: -0.26 eV/atom

Lattice parameters (Å, degrees): 3.7011 5.0714 8.8690 90.00 90.00 90.00
Closest atoms and distances in Å follow each position.
Element x y z (fractional)
1 Pm 0.0000 0.0000 0.0000  8 Tl 3.41-3.49, 4 Cd 3.50, 2 Pm 3.70
2 Pm 0.0000 0.5000 0.4925  10 Tl 3.44-3.55, 2 Cd 3.48, 2 Pm 3.70
3 Tl 0.5000 0.0000 0.3343  3 Tl 3.00-3.01
4 Tl 0.5000 0.0000 0.6728  2 Cd 2.87, 1 Tl 3.00
5 Tl 0.5000 0.5000 0.1516  1 Cd 2.90, 2 Tl 3.01
6 Cd 0.5000 0.5000 0.8249  3 Tl 2.87-2.90

***

Record 5
This record from the Alexandria database describes Tb2InHg after structural relaxation. The functional is PBE-GGA.

Calculated values
* ΔE_f: -0.48 eV/atom

Lattice parameters (Å, degrees): 3.7436 3.7436 7.5692 90.00 90.00 90.00
Closest atoms and distances in Å follow each position.
Element x y z (fractional)
1 Tb 0.0000 0.0000 0.2448  4 Hg 3.23, 4 In 3.28
2 Tb 0.0000 0.0000 0.7552  4 Hg 3.23, 4 In 3.28
3 In 0.5000 0.5000 0.5000  8 Tb 3.28
4 Hg 0.5000 0.5000 0.0000  8 Tb 3.23

***

Record 6
This record from the Alexandria database describes Nd2HoCd4 after structural relaxation. The functional is PBE-GGA.

Calculated values
* ΔE_f: -0.13 eV/atom
* offset from the most stable computed form: 0 meV/atom

Lattice parameters (Å, degrees): 9.1756 9.1756 9.1756 33.53 33.53 33.53
Closest atoms and distances in Å follow each position.
Element x y z (fractional)
1 Nd 0.2495 0.2495 0.2495  8 Cd 3.22-3.31
2 Nd 0.7505 0.7505 0.7505  8 Cd 3.22-3.31
3 Ho 0.0000 0.0000 0.0000  8 Cd 3.25-3.26
4 Cd 0.1254 0.1254 0.1254  4 Nd 3.22-3.24, 1 Ho 3.25
5 Cd 0.3771 0.3771 0.3771  4 Nd 3.23-3.31, 3 Ho 3.26
6 Cd 0.6229 0.6229 0.6229  4 Nd 3.23-3.31, 3 Ho 3.26
7 Cd 0.8746 0.8746 0.8746  4 Nd 3.22-3.24, 1 Ho 3.25

***

Record 7
This record from the Alexandria database describes Tl2GaAu2 after structural relaxation. The functional is PBE-GGA.

Calculated values
* ΔE_f: 0.09 eV/atom
* offset from the most stable computed form: 191 meV/atom

Lattice parameters (Å, degrees): 8.7327 8.7327 8.7327 154.26 154.26 36.72
Closest atoms and distances in Å follow each position.
Element x y z (fractional)
1 Tl 0.1047 0.1047 0.0000  4 Au 3.10, 4 Ga 3.25
2 Tl 0.8953 0.8953 0.0000  4 Au 3.10, 4 Ga 3.25
3 Ga 0.5000 0.5000 0.0000  8 Tl 3.25
4 Au 0.2500 0.7500 0.5000  4 Au 2.75
5 Au 0.7500 0.2500 0.5000  4 Au 2.75

***

Record 8
This record from the Alexandria database describes CePuAsAu after structural relaxation. The functional is PBE-GGA.

Calculated values
* ΔE_f: -0.73 eV/atom

Lattice parameters (Å, degrees): 5.1499 5.1499 5.1499 60.00 60.00 60.00
Closest atoms and distances in Å follow each position.
Element x y z (fractional)
1 Ce 0.0000 0.0000 0.0000  4 As 3.15, 4 Au 3.15
2 Pu 0.5000 0.5000 0.5000  4 As 3.15, 4 Au 3.15
3 As 0.7500 0.7500 0.7500  4 Ce 3.15, 4 Pu 3.15
4 Au 0.2500 0.2500 0.2500  4 Ce 3.15, 4 Pu 3.15

***

Record 9
This record from the Alexandria database describes Sm6Y3Cd after structural relaxation. The functional is PBE-GGA.

Calculated values
* ΔE_f: -0.02 eV/atom

Lattice parameters (Å, degrees): 11.0830 5.1051 11.3760 90.00 92.06 90.00
Closest atoms and distances in Å follow each position.
Element x y z (fractional)
1 Sm 0.0451 0.2500 0.3939  1 Cd 3.40, 7 Sm 3.48-3.68, 4 Y 3.54-3.58
2 Sm 0.1366 0.7500 0.1827  3 Cd 3.39-3.40, 5 Sm 3.54-3.67, 4 Y 3.62-3.67
3 Sm 0.1536 0.2500 0.6884  8 Sm 3.45-3.58, 2 Y 3.58, 2 Cd 3.66
4 Sm 0.2344 0.2500 0.9922  3 Cd 3.42-3.48, 5 Sm 3.54-3.62, 4 Y 3.58-3.70
5 Sm 0.3451 0.7500 0.7972  1 Cd 3.46, 6 Sm 3.52-3.62, 5 Y 3.58-3.62
6 Sm 0.4490 0.2500 0.6021  5 Sm 3.45-3.66, 7 Y 3.55-3.67
7 Sm 0.5510 0.7500 0.3979  5 Sm 3.45-3.66, 7 Y 3.55-3.67
8 Sm 0.6549 0.2500 0.2028  1 Cd 3.46, 6 Sm 3.52-3.62, 5 Y 3.58-3.62
9 Sm 0.7656 0.7500 0.0078  3 Cd 3.42-3.48, 5 Sm 3.54-3.62, 4 Y 3.58-3.70
10 Sm 0.8464 0.7500 0.3116  8 Sm 3.45-3.58, 2 Y 3.58, 2 Cd 3.66
11 Sm 0.8634 0.2500 0.8173  3 Cd 3.39-3.40, 5 Sm 3.54-3.67, 4 Y 3.62-3.67
12 Sm 0.9549 0.7500 0.6061  1 Cd 3.40, 7 Sm 3.48-3.68, 4 Y 3.54-3.58
13 Y 0.2475 0.7500 0.4905  10 Sm 3.54-3.67, 2 Y 3.61
14 Y 0.3471 0.2500 0.2913  4 Y 3.57-3.61, 8 Sm 3.58-3.67
15 Y 0.4488 0.7500 0.0985  8 Sm 3.55-3.70, 4 Y 3.57-3.61
16 Y 0.5512 0.2500 0.9015  8 Sm 3.55-3.70, 4 Y 3.57-3.61
17 Y 0.6529 0.7500 0.7087  4 Y 3.57-3.61, 8 Sm 3.58-3.67
18 Y 0.7525 0.2500 0.5095  10 Sm 3.54-3.67, 2 Y 3.61
19 Cd 0.0523 0.7500 0.8926  10 Sm 3.39-3.66, 2 Cd 3.75
20 Cd 0.9477 0.2500 0.1074  10 Sm 3.39-3.66, 2 Cd 3.75

***

Record 10
This record from the Alexandria database describes KY2C after structural relaxation. The functional is PBE-GGA.

Calculated values
* ΔE_f: -0.04 eV/atom

Lattice parameters (Å, degrees): 10.8002 10.8002 10.8002 19.42 19.42 19.42
Closest atoms and distances in Å follow each position.
Element x y z (fractional)
1 K 0.0000 0.0000 0.0000  6 K 3.64, 2 Y 3.97
2 Y 0.1248 0.1248 0.1248  3 C 2.49
3 Y 0.8752 0.8752 0.8752  3 C 2.49
4 C 0.5000 0.5000 0.5000  6 Y 2.49

***

Record 11
This record from the Alexandria database describes Cd2Pb3Au3 after structural relaxation. The functional is PBE-GGA.

Calculated values
* ΔE_f: -0.09 eV/atom

Lattice parameters (Å, degrees): 7.1380 7.1380 14.9009 90.00 90.00 148.49
Closest atoms and distances in Å follow each position.
Element x y z (fractional)
1 Cd 0.2395 0.7605 0.5793  4 Au 2.81-2.91, 2 Cd 3.07
2 Cd 0.2395 0.7605 0.9207  4 Au 2.81-2.91, 2 Cd 3.07
3 Cd 0.7605 0.2395 0.0793  4 Au 2.81-2.91, 2 Cd 3.07
4 Cd 0.7605 0.2395 0.4207  4 Au 2.81-2.91, 2 Cd 3.07
5 Pb 0.0541 0.9459 0.1275  6 Au 3.09-3.23
6 Pb 0.0541 0.9459 0.3725  6 Au 3.09-3.23
7 Pb 0.3540 0.6460 0.2500  4 Au 3.15-3.18, 4 Cd 3.45
8 Pb 0.6460 0.3540 0.7500  4 Au 3.15-3.18, 4 Cd 3.45
9 Pb 0.9459 0.0541 0.6275  6 Au 3.09-3.23
10 Pb 0.9459 0.0541 0.8725  6 Au 3.09-3.23
11 Au 0.3267 0.6733 0.7500  2 Cd 2.81, 4 Pb 3.13
12 Au 0.4057 0.5943 0.0416  3 Cd 2.84-2.91, 1 Au 2.87, 2 Pb 3.09
13 Au 0.4057 0.5943 0.4584  3 Cd 2.84-2.91, 1 Au 2.87, 2 Pb 3.09
14 Au 0.5943 0.4057 0.5416  3 Cd 2.84-2.91, 1 Au 2.87, 2 Pb 3.09
15 Au 0.5943 0.4057 0.9584  3 Cd 2.84-2.91, 1 Au 2.87, 2 Pb 3.09
16 Au 0.6733 0.3267 0.2500  2 Cd 2.81, 4 Pb 3.13

***

Record 12
This record from the Alexandria database describes KSrH after structural relaxation. The functional is PBE-GGA.

Calculated values
* offset from the most stable computed form: 0 meV/atom

Lattice parameters (Å, degrees): 4.2309 4.2309 13.2391 90.00 90.00 90.00
Closest atoms and distances in Å follow each position.
Element x y z (fractional)
1 K 0.2500 0.2500 0.1408  4 K 4.23, 4 Sr 4.58
2 K 0.7500 0.7500 0.8592  4 K 4.23, 4 Sr 4.58
3 Sr 0.2500 0.2500 0.5972  4 H 2.48
4 Sr 0.7500 0.7500 0.4028  4 H 2.48
5 H 0.2500 0.7500 0.5000  4 Sr 2.48
6 H 0.7500 0.2500 0.5000  4 Sr 2.48